# 1
A relaxed structure of CaInNi. Source: the Alexandria database, functional GGA-PBE.

The space group is I4mm (No. 107) and the conventional cell measures 3.4221, 3.4221 and 10.8968 Å, with angles of 90.00, 90.00 and 90.00 degrees. The inequivalent atoms are Ca at (0.0000, 0.0000, 0.0000), In at (0.0000, 0.0000, 0.2872) and Ni at (0.0000, 0.0000, 0.6773).

The density is 5.6 g cm⁻³.

=====

# 2
A relaxed structure of Ti5CuRh6. Source: the Alexandria database, functional GGA-PBE.

The space group is Immm (No. 71) and the conventional cell measures 4.2092, 6.7169 and 12.5184 Å, with angles of 90.00, 90.00 and 90.00 degrees. The inequivalent atoms are Ti at (0.0000, 0.0000, 0.0000), Ti at (0.0000, 0.0000, 0.3517), Ti at (0.0000, 0.5000, 0.3236), Cu at (0.0000, 0.5000, 0.0000), Rh at (0.0000, 0.2381, 0.1687) and Rh at (0.0000, 0.2705, 0.5000).

The density is 8.6 g cm⁻³.

=====

no.,magnetization (Bohr magnetons per cell),energy of formation (kJ/mol of atoms)
1,0.00,-18.68
2,0.00,-68.41